1.
DFT (GGA-PBE) results for an optimized crystal structure of Sn3BPd.

The calculation puts the total energy at -19.0 eV/cell. The excess energy over the best structure of this formula in the dataset is 0.429 eV/atom.

It has space group Pm-3m (No. 221), with a = 5.175 Å, b = 5.175 Å, c = 5.175 Å, α = 90.00°, β = 90.00° and γ = 90.00°. The inequivalent atoms are Sn at (0.000, 0.000, 0.500), B at (0.500, 0.500, 0.500) and Pd at (0.000, 0.000, 0.000).

=====

2.
DFT (GGA-PBE) results for an optimized crystal structure of Rb2BSbS.

The calculation puts the total energy at -15.8 eV/cell. For the formation energy from raw total energies, the calculation gives 0.214 eV/atom.

It has space group P4/mmm (No. 123), with a = 6.791 Å, b = 6.791 Å, c = 3.658 Å, α = 90.00°, β = 90.00° and γ = 90.00°. The inequivalent atoms are Rb at (0.000, 0.500, 0.000), B at (0.000, 0.000, 0.000), Sb at (0.500, 0.500, 0.500) and S at (0.000, 0.000, 0.500).